# 1
## ThCoH4 (PBE-GGA)

Data for ThCoH4 after structural relaxation.

Summary:
Space-group type: No. 63
Uncorrected energy (eV/atom): -5.065

Cell lengths 6.1745, 6.1745, 4.7052 Å; angles 90.00, 90.00, 143.59 degrees
Closest atoms and distances in Å follow each position.
Fractional positions:
Th 0.1312 0.8688 0.7500  9 H 2.37-2.56
Th 0.8688 0.1312 0.2500  9 H 2.37-2.56
Co 0.4028 0.5972 0.7500  4 H 1.64
Co 0.5972 0.4028 0.2500  4 H 1.64
H 0.0870 0.9130 0.2500  2 Co 1.93
H 0.3061 0.6939 0.0027  1 Co 1.64
H 0.3061 0.6939 0.4973  1 Co 1.64
H 0.5000 0.5000 0.0000  2 Co 1.64
H 0.5000 0.5000 0.5000  2 Co 1.64
H 0.6939 0.3061 0.5027  1 Co 1.64
H 0.6939 0.3061 0.9973  1 Co 1.64
H 0.9130 0.0870 0.7500  2 Co 1.93

=====

# 2
## YZnSi2 (PBE-GGA)

Data for YZnSi2 after structural relaxation.

Summary:
Space-group type: No. 216
Uncorrected energy (eV/atom): -4.569

Cell lengths 4.7443, 4.7443, 4.7443 Å; angles 60.00, 60.00, 60.00 degrees
Closest atoms and distances in Å follow each position.
Fractional positions:
Y 0.0000 0.0000 0.0000  4 Si 2.91, 4 Zn 2.91
Zn 0.2500 0.2500 0.2500  4 Si 2.91, 4 Y 2.91
Si 0.5000 0.5000 0.5000  4 Zn 2.91, 4 Si 2.91
Si 0.7500 0.7500 0.7500  4 Si 2.91, 4 Y 2.91

=====

# 3
## InGaAg2S4 (PBE-GGA)

Data for InGaAg2S4 after structural relaxation.

Summary:
Space-group type: No. 82
Uncorrected energy (eV/atom): -3.965

Cell lengths 6.9135, 6.9135, 6.9135 Å; angles 130.08, 130.08, 73.28 degrees
Closest atoms and distances in Å follow each position.
Fractional positions:
In 0.0000 0.0000 0.0000  4 S 2.50
Ga 0.2500 0.7500 0.5000  4 S 2.32
Ag 0.5000 0.5000 0.0000  4 S 2.56
Ag 0.7500 0.2500 0.5000  4 S 2.58
S 0.1335 0.6419 0.0383  1 Ga 2.32, 1 In 2.50, 2 Ag 2.56-2.58
S 0.3581 0.3964 0.4916  1 Ga 2.32, 1 In 2.50, 2 Ag 2.56-2.58
S 0.6036 0.0952 0.9617  1 Ga 2.32, 1 In 2.50, 2 Ag 2.56-2.58
S 0.9048 0.8665 0.5084  1 Ga 2.32, 1 In 2.50, 2 Ag 2.56-2.58

=====

# 4
## PrHoBi2Te2 (PBE-GGA)

Data for PrHoBi2Te2 after structural relaxation.

Summary:
Space-group type: No. 99
Uncorrected energy (eV/atom): -4.990

Cell lengths 4.4382, 4.4382, 9.4816 Å; angles 90.00, 90.00, 90.00 degrees
Closest atoms and distances in Å follow each position.
Fractional positions:
Pr 0.0000 0.0000 0.0000  5 Te 3.27-3.31, 4 Bi 3.51
Ho 0.5000 0.5000 0.5689  5 Te 3.16-3.23, 4 Bi 3.47
Bi 0.0000 0.5000 0.2874  4 Bi 3.14, 2 Ho 3.47, 2 Pr 3.51
Bi 0.5000 0.0000 0.2874  4 Bi 3.14, 2 Ho 3.47, 2 Pr 3.51
Te 0.0000 0.0000 0.6512  4 Ho 3.23, 1 Pr 3.31
Te 0.5000 0.5000 0.9020  1 Ho 3.16, 4 Pr 3.27

=====

# 5
## RbZrAgS3 (PBE-GGA)

Data for RbZrAgS3 after structural relaxation.

Summary:
Space-group type: No. 62
Uncorrected energy (eV/atom): -5.207

Cell lengths 12.9807, 3.8095, 12.1815 Å; angles 90.00, 90.00, 90.00 degrees
Closest atoms and distances in Å follow each position.
Fractional positions:
Rb 0.1922 0.2500 0.0469  7 S 3.39-3.54, 3 Ag 3.48-3.76
Rb 0.3078 0.7500 0.5469  7 S 3.39-3.54, 3 Ag 3.48-3.76
Rb 0.6922 0.2500 0.4531  7 S 3.39-3.54, 3 Ag 3.48-3.76
Rb 0.8078 0.7500 0.9531  7 S 3.39-3.54, 3 Ag 3.48-3.76
Zr 0.0380 0.2500 0.3455  6 S 2.45-2.71
Zr 0.4620 0.7500 0.8455  6 S 2.45-2.71
Zr 0.5380 0.2500 0.1545  6 S 2.45-2.71
Zr 0.9620 0.7500 0.6545  6 S 2.45-2.71
Ag 0.1621 0.2500 0.7631  4 S 2.53-2.66
Ag 0.3379 0.7500 0.2631  4 S 2.53-2.66
Ag 0.6621 0.2500 0.7369  4 S 2.53-2.66
Ag 0.8379 0.7500 0.2369  4 S 2.53-2.66
S 0.0291 0.7500 0.1985  1 Ag 2.53, 2 Zr 2.62
S 0.0787 0.2500 0.5638  1 Ag 2.66, 3 Zr 2.67-2.71
S 0.2266 0.2500 0.3317  1 Zr 2.45, 2 Ag 2.53
S 0.2734 0.7500 0.8317  1 Zr 2.45, 2 Ag 2.53
S 0.4213 0.7500 0.0638  1 Ag 2.66, 3 Zr 2.67-2.71
S 0.4709 0.2500 0.6985  1 Ag 2.53, 2 Zr 2.62
S 0.5291 0.7500 0.3015  1 Ag 2.53, 2 Zr 2.62
S 0.5787 0.2500 0.9362  1 Ag 2.66, 3 Zr 2.67-2.71
S 0.7266 0.2500 0.1683  1 Zr 2.45, 2 Ag 2.53
S 0.7734 0.7500 0.6683  1 Zr 2.45, 2 Ag 2.53
S 0.9213 0.7500 0.4362  1 Ag 2.66, 3 Zr 2.67-2.71
S 0.9709 0.2500 0.8015  1 Ag 2.53, 2 Zr 2.62

=====

# 6
## LiCo3P5 (PBE-GGA)

Data for LiCo3P5 after structural relaxation.

Summary:
Space-group type: No. 191
Uncorrected energy (eV/atom): -5.635

Cell lengths 4.7536, 4.7536, 7.0400 Å; angles 90.00, 90.00, 120.00 degrees
Closest atoms and distances in Å follow each position.
Fractional positions:
Li 0.0000 0.0000 0.0000  14 P 3.22-3.52
Co 0.0000 0.5000 0.5000  6 P 2.30-2.38, 4 Co 2.38
Co 0.5000 0.0000 0.5000  6 P 2.30-2.38, 4 Co 2.38
Co 0.5000 0.5000 0.5000  6 P 2.30-2.38, 4 Co 2.38
P 0.0000 0.0000 0.5000  6 Co 2.38
P 0.3333 0.6667 0.2379  3 Co 2.30
P 0.3333 0.6667 0.7621  3 Co 2.30
P 0.6667 0.3333 0.2379  3 Co 2.30
P 0.6667 0.3333 0.7621  3 Co 2.30

=====

# 7
## Gd2C4SeS (PBE-GGA)

Data for Gd2C4SeS after structural relaxation.

Summary:
Space-group type: No. 187
Uncorrected energy (eV/atom): -6.200

Cell lengths 4.2793, 4.2793, 7.8879 Å; angles 90.00, 90.00, 120.00 degrees
Closest atoms and distances in Å follow each position.
Fractional positions:
Gd 0.0000 0.0000 0.2369  6 C 2.75-2.85
Gd 0.0000 0.0000 0.7631  6 C 2.75-2.85
C 0.3333 0.6667 0.0825  1 C 1.30
C 0.3333 0.6667 0.9175  1 C 1.30
C 0.6667 0.3333 0.4166  1 C 1.32
C 0.6667 0.3333 0.5834  1 C 1.32
Se 0.3333 0.6667 0.5000  6 C 2.56
S 0.6667 0.3333 0.0000  6 C 2.55

=====

# 8
## LuScAg2 (PBE-GGA)

Data for LuScAg2 after structural relaxation.

Summary:
Space-group type: No. 216
Energy of formation (eV/atom): -0.103

Cell lengths 4.8177, 4.8177, 4.8177 Å; angles 60.00, 60.00, 60.00 degrees
Closest atoms and distances in Å follow each position.
Fractional positions:
Lu 0.0000 0.0000 0.0000  4 Sc 2.95, 4 Ag 2.95
Sc 0.2500 0.2500 0.2500  4 Ag 2.95, 4 Lu 2.95
Ag 0.5000 0.5000 0.5000  4 Sc 2.95, 4 Ag 2.95
Ag 0.7500 0.7500 0.7500  4 Lu 2.95, 4 Ag 2.95